Material: TlZnW2
Method: DFT, meta-GGA SCAN
State: PBEsol geometry

Computed properties:
- Crystal system: tetragonal
- Energy above the lowest structure with this stoichiometry: 0 meV/atom
- Calculated density: 15.53 g/cm³

Cell: 3.3128 3.3128 6.2123 Å, 90.00 90.00 90.00°
Space group P4mm (No. 99)
Inequivalent atoms, fractional coordinates:
Tl 0.0000 0.0000 0.0000 (multiplicity 1)
Zn 0.5000 0.5000 0.7412 (multiplicity 1)
W 0.0000 0.0000 0.5066 (multiplicity 1)
W 0.5000 0.5000 0.3074 (multiplicity 1)

---

Material: Tl2ZnW
Method: DFT, meta-GGA SCAN
State: PBEsol geometry

Computed properties:
- Crystal system: tetragonal
- Energy above the lowest structure with this stoichiometry: 0 meV/atom
- Calculated density: 14.10 g/cm³

Cell: 5.1484 5.1484 2.9237 Å, 90.00 90.00 90.00°
Space group P4/mmm (No. 123)
Inequivalent atoms, fractional coordinates:
Tl 0.0000 0.5000 0.0000 (multiplicity 2)
Zn 0.0000 0.0000 0.5000 (multiplicity 1)
W 0.5000 0.5000 0.5000 (multiplicity 1)

---

Material: TlZnW2
Method: DFT, meta-GGA SCAN
State: PBEsol geometry

Computed properties:
- Crystal system: tetragonal
- Energy above the lowest structure with this stoichiometry: 280 meV/atom
- Calculated density: 16.03 g/cm³

Cell: 4.0951 4.0951 7.8748 Å, 90.00 90.00 90.00°
Space group I-4m2 (No. 119)
Inequivalent atoms, fractional coordinates:
Tl 0.0000 0.0000 0.0000 (multiplicity 2)
Zn 0.0000 0.5000 0.7500 (multiplicity 2)
W 0.0000 0.0000 0.5000 (multiplicity 2)
W 0.0000 0.5000 0.2500 (multiplicity 2)

---

Repeat the second record exactly.
Material: Tl2ZnW
Method: DFT, meta-GGA SCAN
State: PBEsol geometry

Computed properties:
- Crystal system: tetragonal
- Energy above the lowest structure with this stoichiometry: 0 meV/atom
- Calculated density: 14.10 g/cm³

Cell: 5.1484 5.1484 2.9237 Å, 90.00 90.00 90.00°
Space group P4/mmm (No. 123)
Inequivalent atoms, fractional coordinates:
Tl 0.0000 0.5000 0.0000 (multiplicity 2)
Zn 0.0000 0.0000 0.5000 (multiplicity 1)
W 0.5000 0.5000 0.5000 (multiplicity 1)

---

- Among the records above, which one has the highest energy above the lowest structure with this stoichiometry?
  number 3

---

Copy entry 3 word for word.
Material: TlZnW2
Method: DFT, meta-GGA SCAN
State: PBEsol geometry

Computed properties:
- Crystal system: tetragonal
- Energy above the lowest structure with this stoichiometry: 280 meV/atom
- Calculated density: 16.03 g/cm³

Cell: 4.0951 4.0951 7.8748 Å, 90.00 90.00 90.00°
Space group I-4m2 (No. 119)
Inequivalent atoms, fractional coordinates:
Tl 0.0000 0.0000 0.0000 (multiplicity 2)
Zn 0.0000 0.5000 0.7500 (multiplicity 2)
W 0.0000 0.0000 0.5000 (multiplicity 2)
W 0.0000 0.5000 0.2500 (multiplicity 2)